1.
NaCaOs2O8 after structural relaxation, computed with PBE-GGA.

Lattice parameters (Å, degrees): 6.998 6.998 6.998 135.26 135.26 65.13
Sites, in units of the cell vectors:
Na: 0.000 0.000 0.000
Ca: 0.250 0.750 0.500
Os: 0.500 0.500 0.000
Os: 0.750 0.250 0.500
O: 0.274 0.663 0.100
O: 0.337 0.437 0.611
O: 0.428 0.018 0.100
O: 0.563 0.174 0.900
O: 0.672 0.572 0.590
O: 0.826 0.726 0.389
O: 0.918 0.328 0.900
O: 0.982 0.082 0.410

## Properties
The calculation puts the density of states at the Fermi level at 6.49 states/eV/f.u. The formation energy from raw total energies comes out at -1652 kJ/mol of formula units. Its uncorrected energy is -6.881 eV per atom.

---

2.
Ba5Na4In after structural relaxation, computed with PBE-GGA.

Lattice parameters (Å, degrees): 4.442 4.442 24.463 90.00 90.00 90.00
Sites, in units of the cell vectors:
Ba: 0.000 0.000 0.000
Ba: 0.000 0.000 0.208
Ba: 0.000 0.000 0.420
Ba: 0.000 0.000 0.580
Ba: 0.000 0.000 0.792
Na: 0.500 0.500 0.104
Na: 0.500 0.500 0.313
Na: 0.500 0.500 0.687
Na: 0.500 0.500 0.896
In: 0.500 0.500 0.500

## Properties
The calculation puts the density of states at the Fermi level at 9.74 states/eV/f.u. The energy of formation is -0.09 eV per atom. Its uncorrected energy is -1.852 eV per atom.

---

3.
Li3H4Cl3O2 after structural relaxation, computed with PBE-GGA.

Lattice parameters (Å, degrees): 9.012 9.012 9.012 150.23 41.99 151.07
Sites, in units of the cell vectors:
Li: 0.000 0.000 0.000
Li: 0.183 0.546 0.637
Li: 0.909 0.546 0.363
H: 0.171 0.313 0.859
H: 0.195 0.012 0.183
H: 0.454 0.313 0.141
H: 0.828 0.012 0.817
Cl: 0.359 0.047 0.311
Cl: 0.736 0.047 0.689
Cl: 0.914 0.414 0.500
O: 0.228 0.100 0.129
O: 0.971 0.100 0.871

## Properties
The calculation puts the density of states at the Fermi level at 0.00 states/eV/f.u. Its uncorrected energy is -4.243 eV per atom.

---

4.
KLiY2Se4 after structural relaxation, computed with PBE-GGA.

Lattice parameters (Å, degrees): 7.303 7.303 14.589 90.00 90.00 146.65
Sites, in units of the cell vectors:
K: 0.109 0.891 0.750
K: 0.891 0.109 0.250
Li: 0.165 0.835 0.250
Li: 0.835 0.165 0.750
Y: 0.366 0.634 0.562
Y: 0.366 0.634 0.938
Y: 0.634 0.366 0.062
Y: 0.634 0.366 0.438
Se: 0.000 0.000 0.000
Se: 0.000 0.000 0.500
Se: 0.265 0.735 0.109
Se: 0.265 0.735 0.391
Se: 0.430 0.570 0.750
Se: 0.570 0.430 0.250
Se: 0.735 0.265 0.609
Se: 0.735 0.265 0.891

## Properties
The formation energy from raw total energies comes out at -1325 kJ/mol of formula units. Its uncorrected energy is -5.451 eV per atom.

---

5.
Pr3Sc2Ag3 after structural relaxation, computed with PBE-GGA.

Lattice parameters (Å, degrees): 11.393 11.393 11.393 161.75 152.87 32.90
Sites, in units of the cell vectors:
Pr: 0.000 0.000 0.000
Pr: 0.375 0.875 0.500
Pr: 0.625 0.125 0.500
Sc: 0.236 0.236 0.000
Sc: 0.764 0.764 0.000
Ag: 0.131 0.631 0.500
Ag: 0.500 0.500 0.000
Ag: 0.869 0.369 0.500

## Properties
The calculation puts the density of states at the Fermi level at 10.01 states/eV/f.u. The energy of formation is -0.17 eV per atom. Its uncorrected energy is -4.611 eV per atom.

---

6.
NdYTm2Te6 after structural relaxation, computed with PBE-GGA.

Lattice parameters (Å, degrees): 8.307 8.307 8.307 55.44 55.44 55.44
Sites, in units of the cell vectors:
Nd: 0.000 0.000 0.000
Y: 0.497 0.497 0.497
Tm: 0.310 0.310 0.310
Tm: 0.812 0.812 0.812
Te: 0.084 0.700 0.422
Te: 0.212 0.580 0.910
Te: 0.422 0.084 0.700
Te: 0.580 0.910 0.212
Te: 0.700 0.422 0.084
Te: 0.910 0.212 0.580

## Properties
The formation energy from raw total energies comes out at -1306 kJ/mol of formula units. Its uncorrected energy is -5.256 eV per atom.

---

7.
Tm6Cd2Rh after structural relaxation, computed with PBE-GGA.

Lattice parameters (Å, degrees): 3.698 8.560 8.560 119.72 90.00 90.00
Sites, in units of the cell vectors:
Tm: 0.000 0.000 0.000
Tm: 0.000 0.506 0.751
Tm: 0.000 0.751 0.506
Tm: 0.500 0.143 0.751
Tm: 0.500 0.360 0.360
Tm: 0.500 0.751 0.143
Cd: 0.000 0.084 0.418
Cd: 0.000 0.418 0.084
Rh: 0.500 0.756 0.756

## Properties
The calculation puts the density of states at the Fermi level at 11.05 states/eV/f.u. The energy of formation is -0.35 eV per atom. Its uncorrected energy is -4.346 eV per atom.

---

8.
Na2UPaS6 after structural relaxation, computed with PBE-GGA.

Lattice parameters (Å, degrees): 6.846 7.269 12.120 90.00 124.26 90.00
Sites, in units of the cell vectors:
Na: 0.226 0.076 0.250
Na: 0.226 0.424 0.750
Na: 0.774 0.576 0.250
Na: 0.774 0.924 0.750
U: 0.000 0.000 0.500
U: 0.000 0.500 0.000
Pa: 0.500 0.000 0.000
Pa: 0.500 0.500 0.500
S: 0.129 0.197 0.940
S: 0.129 0.303 0.440
S: 0.248 0.695 0.940
S: 0.248 0.805 0.440
S: 0.361 0.035 0.749
S: 0.361 0.465 0.249
S: 0.639 0.535 0.751
S: 0.639 0.965 0.251
S: 0.752 0.195 0.560
S: 0.752 0.305 0.060
S: 0.871 0.697 0.560
S: 0.871 0.803 0.060

## Properties
The calculation puts the density of states at the Fermi level at 0.79 states/eV/f.u. The formation energy from raw total energies comes out at -1306 kJ/mol of formula units. Its uncorrected energy is -6.172 eV per atom.

---

9.
Fe4CuMo after structural relaxation, computed with PBE-GGA.

Lattice parameters (Å, degrees): 4.687 4.687 4.687 60.00 60.00 60.00
Sites, in units of the cell vectors:
Fe: 0.376 0.376 0.376
Fe: 0.376 0.376 0.873
Fe: 0.376 0.873 0.376
Fe: 0.873 0.376 0.376
Cu: 0.750 0.750 0.750
Mo: 0.000 0.000 0.000

## Properties
The calculation puts the density of states at the Fermi level at 4.52 states/eV/f.u. The energy of formation is 0.09 eV per atom. Its uncorrected energy is -8.041 eV per atom.

---

10.
TlRe5 after structural relaxation, computed with PBE-GGA.

Lattice parameters (Å, degrees): 5.378 5.378 6.681 104.54 104.54 30.98
Sites, in units of the cell vectors:
Tl: 0.000 0.000 0.000
Re: 0.281 0.281 0.085
Re: 0.333 0.333 0.653
Re: 0.634 0.634 0.731
Re: 0.677 0.677 0.350
Re: 0.953 0.953 0.410

## Properties
The calculation puts the density of states at the Fermi level at 4.87 states/eV/f.u. The energy of formation is 0.46 eV per atom. Its uncorrected energy is -10.309 eV per atom.

---

11.
La4Dy3Zn after structural relaxation, computed with PBE-GGA.

Lattice parameters (Å, degrees): 3.732 3.732 18.689 90.00 90.00 90.00
Sites, in units of the cell vectors:
La: 0.000 0.000 0.099
La: 0.000 0.000 0.368
La: 0.000 0.000 0.632
La: 0.000 0.000 0.901
Dy: 0.500 0.500 0.237
Dy: 0.500 0.500 0.500
Dy: 0.500 0.500 0.763
Zn: 0.500 0.500 0.000

## Properties
The calculation puts the density of states at the Fermi level at 10.78 states/eV/f.u. The energy of formation is -0.06 eV per atom. Its uncorrected energy is -4.404 eV per atom.

---

12.
LiSiTc2Mo after structural relaxation, computed with PBE-GGA.

Lattice parameters (Å, degrees): 4.452 4.452 3.966 90.00 90.00 90.00
Sites, in units of the cell vectors:
Li: 0.000 0.000 0.000
Si: 0.000 0.000 0.500
Tc: 0.000 0.500 0.500
Tc: 0.500 0.000 0.500
Mo: 0.500 0.500 0.000

## Properties
The calculation puts the density of states at the Fermi level at 7.50 states/eV/f.u. The formation energy from raw total energies comes out at 431 kJ/mol of formula units. Its uncorrected energy is -6.886 eV per atom.

---

13.
KLaHf2 after structural relaxation, computed with PBE-GGA.

Lattice parameters (Å, degrees): 5.496 5.496 5.496 60.00 60.00 60.00
Sites, in units of the cell vectors:
K: 0.000 0.000 0.000
La: 0.500 0.500 0.500
Hf: 0.250 0.250 0.250
Hf: 0.750 0.750 0.750

## Properties
The calculation puts the density of states at the Fermi level at 7.41 states/eV/f.u. The energy of formation is 1.12 eV per atom. Its uncorrected energy is -5.366 eV per atom.

---

14.
CuP2HCl after structural relaxation, computed with PBE-GGA.

Lattice parameters (Å, degrees): 3.473 3.473 7.349 90.00 90.00 90.00
Sites, in units of the cell vectors:
Cu: 0.000 0.000 0.000
P: 0.000 0.500 0.500
P: 0.500 0.000 0.500
H: 0.500 0.500 0.500
Cl: 0.500 0.500 0.000

## Properties
The calculation puts the density of states at the Fermi level at 2.94 states/eV/f.u. Its uncorrected energy is -3.512 eV per atom.

---

15.
SmDy7Er3 after structural relaxation, computed with PBE-GGA.

Lattice parameters (Å, degrees): 8.384 8.384 8.384 139.77 96.89 96.69
Sites, in units of the cell vectors:
Sm: 0.000 0.000 0.000
Dy: 0.000 0.500 0.500
Dy: 0.099 0.301 0.798
Dy: 0.293 0.000 0.293
Dy: 0.496 0.699 0.798
Dy: 0.504 0.301 0.202
Dy: 0.707 0.000 0.707
Dy: 0.901 0.699 0.202
Er: 0.295 0.795 0.500
Er: 0.500 0.500 0.000
Er: 0.705 0.205 0.500

## Properties
The calculation puts the density of states at the Fermi level at 17.49 states/eV/f.u. The energy of formation is 0.26 eV per atom. Its uncorrected energy is -4.341 eV per atom.

---

16.
TcW2Br after structural relaxation, computed with PBE-GGA.

Lattice parameters (Å, degrees): 5.046 5.046 2.904 90.00 90.00 117.02
Sites, in units of the cell vectors:
Tc: 0.000 0.000 0.000
W: 0.000 0.500 0.500
W: 0.500 0.000 0.500
Br: 0.500 0.500 0.000

## Properties
The calculation puts the density of states at the Fermi level at 4.70 states/eV/f.u. The formation energy from raw total energies comes out at 436 kJ/mol of formula units. Its uncorrected energy is -8.356 eV per atom.

---

17.
LiAl2Ag after structural relaxation, computed with PBE-GGA.

Lattice parameters (Å, degrees): 3.970 3.970 4.105 90.00 90.00 90.00
Sites, in units of the cell vectors:
Li: 0.000 0.000 0.000
Al: 0.000 0.500 0.500
Al: 0.500 0.000 0.500
Ag: 0.500 0.500 0.000

## Properties
The calculation puts the density of states at the Fermi level at 1.62 states/eV/f.u. The energy of formation is -0.14 eV per atom. Its uncorrected energy is -3.201 eV per atom.

---

18.
TaAg2Br7 after structural relaxation, computed with PBE-GGA.

Lattice parameters (Å, degrees): 9.175 9.175 10.616 109.85 109.85 79.42
Sites, in units of the cell vectors:
Ta: 0.248 0.752 0.750
Ta: 0.752 0.248 0.250
Ag: 0.346 0.604 0.099
Ag: 0.396 0.654 0.401
Ag: 0.604 0.346 0.599
Ag: 0.654 0.396 0.901
Br: 0.020 0.800 0.565
Br: 0.123 0.571 0.808
Br: 0.193 0.807 0.250
Br: 0.200 0.980 0.935
Br: 0.318 0.489 0.556
Br: 0.429 0.877 0.692
Br: 0.489 0.318 0.056
Br: 0.511 0.682 0.944
Br: 0.571 0.123 0.308
Br: 0.682 0.511 0.444
Br: 0.800 0.020 0.065
Br: 0.807 0.193 0.750
Br: 0.877 0.429 0.192
Br: 0.980 0.200 0.435

## Properties
The formation energy from raw total energies comes out at -627 kJ/mol of formula units. Its uncorrected energy is -3.577 eV per atom.

---

19.
BaScFe2 after structural relaxation, computed with PBE-GGA.

Lattice parameters (Å, degrees): 8.844 8.844 8.844 22.48 22.48 22.48
Sites, in units of the cell vectors:
Ba: 0.000 0.000 0.000
Sc: 0.500 0.500 0.500
Fe: 0.239 0.239 0.239
Fe: 0.761 0.761 0.761

## Properties
The calculation puts the density of states at the Fermi level at 5.93 states/eV/f.u. The energy of formation is 0.82 eV per atom. Its uncorrected energy is -5.479 eV per atom.

---

20.
Dy13Cd2 after structural relaxation, computed with PBE-GGA.

Lattice parameters (Å, degrees): 6.652 8.562 8.878 66.30 79.41 82.14
Sites, in units of the cell vectors:
Dy: 0.000 0.000 0.000
Dy: 0.123 0.478 0.739
Dy: 0.200 0.231 0.153
Dy: 0.251 0.940 0.579
Dy: 0.304 0.656 0.973
Dy: 0.367 0.412 0.391
Dy: 0.495 0.142 0.797
Dy: 0.505 0.858 0.203
Dy: 0.633 0.588 0.609
Dy: 0.696 0.344 0.027
Dy: 0.749 0.060 0.421
Dy: 0.800 0.769 0.847
Dy: 0.877 0.522 0.261
Cd: 0.060 0.766 0.381
Cd: 0.940 0.234 0.619

## Properties
The calculation puts the density of states at the Fermi level at 22.55 states/eV/f.u. The energy of formation is -0.04 eV per atom. Its uncorrected energy is -4.151 eV per atom.